Compound: Nd6SmAg2
Source: the Alexandria database
Functional: GGA-PBE
Structure: relaxed

```
9
Lattice="6.432 -1.889 0.000 6.432 1.889 0.000 -3.850 0.000 11.549" Properties=species:S:1:pos:R:3 pbc="T T T"
Nd -0.978 0.000 3.857
Nd 2.436 0.000 4.737
Nd 3.567 0.000 1.426
Nd 5.446 0.000 10.123
Nd 6.577 0.000 6.812
Nd 9.991 0.000 7.692
Sm 0.000 0.000 0.000
Ag 1.488 0.000 9.266
Ag 7.525 0.000 2.283
```

Calculated values
Its total energy is -39.95 eV/f.u.



Compound: Nd2SmAg
Source: the Alexandria database
Functional: GGA-PBE
Structure: relaxed

```
8
Lattice="2.523 -6.027 0.000 2.523 6.027 0.000 0.000 0.000 8.173" Properties=species:S:1:pos:R:3 pbc="T T T"
Nd 2.523 4.347 4.361
Nd 2.523 4.347 7.899
Nd 2.523 -4.347 0.275
Nd 2.523 -4.347 3.812
Sm 2.523 0.631 6.130
Sm 2.523 -0.631 2.043
Ag 2.523 2.469 2.043
Ag 2.523 -2.469 6.130
```

Calculated values
The value obtained for the energy above the most stable polymorph in this dataset is 46 meV/atom.



Please write out number 1 again, unchanged.
Compound: Nd6SmAg2
Source: the Alexandria database
Functional: GGA-PBE
Structure: relaxed

```
9
Lattice="6.432 -1.889 0.000 6.432 1.889 0.000 -3.850 0.000 11.549" Properties=species:S:1:pos:R:3 pbc="T T T"
Nd -0.978 0.000 3.857
Nd 2.436 0.000 4.737
Nd 3.567 0.000 1.426
Nd 5.446 0.000 10.123
Nd 6.577 0.000 6.812
Nd 9.991 0.000 7.692
Sm 0.000 0.000 0.000
Ag 1.488 0.000 9.266
Ag 7.525 0.000 2.283
```

Calculated values
Its total energy is -39.95 eV/f.u.



Copy entry 1 word for word.
Compound: Nd6SmAg2
Source: the Alexandria database
Functional: GGA-PBE
Structure: relaxed

```
9
Lattice="6.432 -1.889 0.000 6.432 1.889 0.000 -3.850 0.000 11.549" Properties=species:S:1:pos:R:3 pbc="T T T"
Nd -0.978 0.000 3.857
Nd 2.436 0.000 4.737
Nd 3.567 0.000 1.426
Nd 5.446 0.000 10.123
Nd 6.577 0.000 6.812
Nd 9.991 0.000 7.692
Sm 0.000 0.000 0.000
Ag 1.488 0.000 9.266
Ag 7.525 0.000 2.283
```

Calculated values
Its total energy is -39.95 eV/f.u.